(1)
VASP calculation (PBE) on a relaxed structure of Na2PaSbN4.

Calculated values
- crystal system = monoclinic
- magnetic moment (μB per cell) = 0.0

a b c (Å): 3.414 5.829 6.171
angles (deg): 109.33 90.00 90.00
Positions (direct):
Na (0.000, 0.500, 0.500)
Sb (0.000, 0.000, 0.000)
Pa (0.500, 0.500, 0.000)
N (0.500, 0.215, 0.201)
N (0.000, 0.269, 0.808)
N (0.500, 0.785, 0.799)
N (0.000, 0.731, 0.192)
Na (0.500, 0.000, 0.500)

***

(2)
VASP calculation (PBE) on a relaxed structure of Na2Pa2SbN6.

Calculated values
- crystal system = monoclinic
- magnetic moment (μB per cell) = 0.0

a b c (Å): 6.014 6.014 6.084
angles (deg): 97.27 97.27 121.59
Positions (direct):
Na (0.154, 0.846, 0.000)
N (0.249, 0.249, 0.308)
Na (0.846, 0.154, 0.000)
N (0.955, 0.617, 0.319)
N (0.045, 0.383, 0.681)
N (0.383, 0.045, 0.681)
Sb (0.000, 0.000, 0.500)
N (0.617, 0.955, 0.319)
Pa (0.336, 0.664, 0.500)
Pa (0.664, 0.336, 0.500)
N (0.751, 0.751, 0.692)

***

(3)
VASP calculation (PBE) on a relaxed structure of Na4Pa3SbN8.

Calculated values
- crystal system = trigonal
- magnetic moment (μB per cell) = 0.0

a b c (Å): 7.009 7.020 7.009
angles (deg): 119.91 120.00 90.00
Positions (direct):
Pa (0.500, 0.500, 0.000)
N (0.772, 0.307, 0.545)
N (0.738, 0.693, 0.965)
Na (0.000, 0.000, 0.000)
N (0.275, 0.324, 0.550)
Na (0.000, 0.000, 0.500)
N (0.228, 0.693, 0.965)
Sb (0.000, 0.500, 0.000)
N (0.228, 0.693, 0.455)
N (0.725, 0.676, 0.450)
Na (0.500, 0.000, 0.500)
Pa (0.000, 0.500, 0.500)
Pa (0.500, 0.500, 0.500)
Na (0.500, 0.000, 0.000)
N (0.262, 0.307, 0.035)
N (0.772, 0.307, 0.035)

***

no.,E (eV for the cell shown)
1,-53.046
2,-81.255
3,-117.313